The following is a DFT calculation (GGA-PBE) of a relaxed structure of TbDySc2Tl4.

Geometry as extended XYZ:
```
8
Lattice="2.6202 1.5128 8.5713 -2.6202 1.5128 8.5713 0.0000 -3.0255 8.5713" Properties=species:S:1:pos:R:3 pbc="T T T"
Tb 0.0000 0.0000 0.0000
Dy 0.0000 0.0000 12.8569
Sc 0.0000 0.0000 6.4276
Sc 0.0000 0.0000 19.2862
Tl 0.0000 0.0000 3.2195
Tl 0.0000 0.0000 9.6491
Tl 0.0000 0.0000 16.0648
Tl 0.0000 0.0000 22.4943
```

Values from the calculation:
E_form (eV/atom): -0.293

***

The following is a DFT calculation (GGA-PBE) of a relaxed structure of TbDyScTl.

Geometry as extended XYZ:
```
4
Lattice="0.0000 3.7980 3.7980 3.7980 0.0000 3.7980 3.7980 3.7980 0.0000" Properties=species:S:1:pos:R:3 pbc="T T T"
Tb 0.0000 0.0000 0.0000
Dy 3.7980 3.7980 3.7980
Sc 1.8990 1.8990 1.8990
Tl 5.6970 5.6970 5.6970
```

Values from the calculation:
E_form (eV/atom): -0.060
Energy above the lowest structure with this stoichiometry (eV per atom): 0.116

***

The following is a DFT calculation (GGA-PBE) of a relaxed structure of TbDyScTl.

Geometry as extended XYZ:
```
4
Lattice="4.7390 0.0000 0.0000 0.0000 4.7580 0.0000 0.0000 0.0000 4.7661" Properties=species:S:1:pos:R:3 pbc="T T T"
Tb 0.0000 0.0000 0.0000
Dy 0.0000 2.3790 2.3831
Sc 2.3695 2.3790 0.0000
Tl 2.3695 0.0000 2.3831
```

Values from the calculation:
E_form (eV/atom): -0.176
Energy above the lowest structure with this stoichiometry (eV per atom): 0.000

***

The following is a DFT calculation (GGA-PBE) of a relaxed structure of Tb5Dy2TmSc.

Geometry as extended XYZ:
```
18
Lattice="2.7513 -10.0063 0.0000 2.7513 10.0063 0.0000 0.0000 0.0000 10.3238" Properties=species:S:1:pos:R:3 pbc="T T T"
Tb 2.7513 9.6815 5.1619
Tb 2.7513 7.4866 8.0392
Tb 2.7513 6.0091 4.7865
Tb 2.7513 5.4862 0.8221
Tb 2.7513 0.3303 7.9804
Tb 2.7513 -0.3303 2.8185
Tb 2.7513 -5.4862 5.9840
Tb 2.7513 -6.0091 9.9483
Tb 2.7513 -7.4866 2.8773
Tb 2.7513 -9.6815 0.0000
Dy 2.7513 2.2929 5.1206
Dy 2.7513 2.2277 0.7059
Dy 2.7513 -2.2277 5.8678
Dy 2.7513 -2.2929 10.2825
Tm 2.7513 8.1345 2.2431
Tm 2.7513 -8.1345 7.4050
Sc 2.7513 3.8853 7.9912
Sc 2.7513 -3.8853 2.8293
```

Values from the calculation:
E_form (eV/atom): 0.160

***

The following is a DFT calculation (GGA-PBE) of a relaxed structure of Tb6DyTm2Sc3.

Geometry as extended XYZ:
```
12
Lattice="3.0192 -5.2248 0.0000 3.0192 5.2248 0.0000 -2.0070 0.0000 11.2377" Properties=species:S:1:pos:R:3 pbc="T T T"
Tb 0.0055 1.7424 8.5168
Tb 1.0083 0.0000 2.7194
Tb 0.0055 -1.7424 8.5168
Tb 4.0260 1.7424 2.7209
Tb 3.0232 0.0000 8.5183
Tb 4.0260 -1.7424 2.7209
Dy -1.0035 0.0000 5.6189
Tm 2.0157 1.7409 5.6189
Tm 2.0157 -1.7409 5.6189
Sc 3.0192 3.4811 0.0000
Sc 3.0192 0.0000 0.0000
Sc 3.0192 -3.4811 0.0000
```

Values from the calculation:
E_form (eV/atom): 0.042

***

The following is a DFT calculation (GGA-PBE) of a relaxed structure of Tb6DyTmSc2.

Geometry as extended XYZ:
```
20
Lattice="4.4678 -7.3744 0.0000 4.4678 7.3744 0.0000 -1.2473 0.0000 9.2925" Properties=species:S:1:pos:R:3 pbc="T T T"
Tb 2.3696 4.0166 1.6842
Tb 3.2150 4.7353 5.1428
Tb 3.8496 4.7353 8.7959
Tb 3.1028 1.5200 3.5457
Tb 5.9423 4.0166 2.9620
Tb 5.2091 1.5200 1.1005
Tb 2.4792 -1.5200 8.1920
Tb 1.7460 -4.0166 6.3305
Tb 4.5854 -1.5200 5.7467
Tb 3.8387 -4.7353 0.4966
Tb 4.4733 -4.7353 4.1496
Tb 5.3186 -4.0166 7.6082
Dy 3.5323 1.3773 6.9693
Dy 4.1560 -1.3773 2.3231
Tm 4.1560 6.9792 2.3231
Tm 3.5323 -6.9792 6.9693
Sc 2.1533 0.7663 0.4334
Sc 1.5296 -0.7663 5.0797
Sc 6.1586 0.7663 4.2128
Sc 5.5350 -0.7663 8.8590
```

Values from the calculation:
E_form (eV/atom): 0.125

***

The following is a DFT calculation (GGA-PBE) of a relaxed structure of Tb2Dy2TmSc.

Geometry as extended XYZ:
```
12
Lattice="6.5018 0.0000 0.0000 0.0000 17.2220 0.0000 0.0000 0.0000 3.3093" Properties=species:S:1:pos:R:3 pbc="T T T"
Tb 1.6121 3.0829 0.0000
Tb 1.6388 11.6940 1.6547
Tb 4.8630 5.5281 1.6547
Tb 4.8897 14.1391 0.0000
Dy 1.5923 6.0884 1.6547
Dy 1.6586 14.6994 0.0000
Dy 4.8431 2.5226 0.0000
Dy 4.9095 11.1336 1.6547
Tm 0.0000 8.6110 0.0000
Tm 3.2509 0.0000 1.6547
Sc 0.0000 0.0000 0.0000
Sc 3.2509 8.6110 1.6547
```

Values from the calculation:
E_form (eV/atom): 0.278

***

The following is a DFT calculation (GGA-PBE) of a relaxed structure of Tb5DyTm2Sc.

Geometry as extended XYZ:
```
18
Lattice="2.7546 -9.9337 0.0000 2.7546 9.9337 0.0000 0.0000 0.0000 10.3382" Properties=species:S:1:pos:R:3 pbc="T T T"
Tb 2.7546 9.5906 5.1691
Tb 2.7546 7.4929 8.0619
Tb 2.7546 5.9624 4.8070
Tb 2.7546 5.4792 0.8201
Tb 2.7546 0.3352 8.0126
Tb 2.7546 -0.3352 2.8435
Tb 2.7546 -5.4792 5.9892
Tb 2.7546 -5.9624 9.9762
Tb 2.7546 -7.4929 2.8928
Tb 2.7546 -9.5906 0.0000
Dy 2.7546 8.1176 2.2339
Dy 2.7546 -8.1176 7.4030
Tm 2.7546 2.2681 5.1415
Tm 2.7546 2.2168 0.7114
Tm 2.7546 -2.2168 5.8806
Tm 2.7546 -2.2681 10.3106
Sc 2.7546 3.8725 8.0041
Sc 2.7546 -3.8725 2.8350
```

Values from the calculation:
E_form (eV/atom): 0.167

***

The following is a DFT calculation (GGA-PBE) of a relaxed structure of TbDyTmSc2.

Geometry as extended XYZ:
```
10
Lattice="3.0176 -8.3152 0.0000 3.0176 8.3152 0.0000 0.0000 0.0000 6.0344" Properties=species:S:1:pos:R:3 pbc="T T T"
Tb 3.0176 5.7579 4.5258
Tb 3.0176 -5.7579 1.5086
Dy 3.0176 4.1667 1.5086
Dy 3.0176 -4.1667 4.5258
Tm 3.0176 2.5247 4.5258
Tm 3.0176 -2.5247 1.5086
Sc 1.5088 0.0000 0.0000
Sc 1.5088 0.0000 3.0172
Sc 4.5265 0.0000 0.0000
Sc 4.5265 0.0000 3.0172
```

Values from the calculation:
E_form (eV/atom): 0.354

***

The following is a DFT calculation (GGA-PBE) of a relaxed structure of TbDy2Tm6Sc3.

Geometry as extended XYZ:
```
12
Lattice="2.9940 -5.1816 0.0000 2.9940 5.1816 0.0000 -1.9912 0.0000 11.2088" Properties=species:S:1:pos:R:3 pbc="T T T"
Tb 0.0000 0.0000 0.0000
Dy 2.9940 1.7270 0.0000
Dy 2.9940 -1.7270 0.0000
Tm 1.0010 1.7274 2.9016
Tm 0.0023 0.0000 8.3069
Tm 1.0010 -1.7274 2.9016
Tm 2.9958 1.7274 8.3072
Tm 3.9945 0.0000 2.9019
Tm 2.9958 -1.7274 8.3072
Sc 1.9984 3.4540 5.6044
Sc 1.9984 0.0000 5.6044
Sc 1.9984 -3.4540 5.6044
```

Values from the calculation:
E_form (eV/atom): 0.044

***

The following is a DFT calculation (GGA-PBE) of a relaxed structure of TbDy2TmSc5.

Geometry as extended XYZ:
```
18
Lattice="2.6596 -9.2144 0.0000 2.6596 9.2144 0.0000 0.0000 0.0000 10.3676" Properties=species:S:1:pos:R:3 pbc="T T T"
Tb 2.6596 5.3595 5.1838
Tb 2.6596 -5.3595 0.0000
Dy 2.6596 7.2641 2.3598
Dy 2.6596 7.1235 8.4654
Dy 2.6596 -7.1235 3.2816
Dy 2.6596 -7.2641 7.5436
Tm 2.6596 1.5252 9.8965
Tm 2.6596 -1.5252 4.7127
Sc 2.6596 8.8185 5.4678
Sc 2.6596 3.9060 8.1623
Sc 2.6596 3.7194 2.0791
Sc 2.6596 1.8328 5.3567
Sc 2.6596 0.4064 2.3683
Sc 2.6596 -0.4064 7.5521
Sc 2.6596 -1.8328 0.1730
Sc 2.6596 -3.7194 7.2629
Sc 2.6596 -3.9060 2.9785
Sc 2.6596 -8.8185 0.2840
```

Values from the calculation:
E_form (eV/atom): 0.164

***

The following is a DFT calculation (GGA-PBE) of a relaxed structure of Tb3DyTmSc.

Geometry as extended XYZ:
```
12
Lattice="7.8216 0.0000 0.0000 0.0000 4.9631 0.0000 -3.1273 0.0000 9.3396" Properties=species:S:1:pos:R:3 pbc="T T T"
Tb 1.1582 1.2408 0.3751
Tb -0.4075 1.2408 5.0641
Tb 0.3792 3.7223 2.7185
Tb 4.3152 1.2408 6.6212
Tb 5.1018 3.7223 4.2755
Tb 3.5362 3.7223 8.9645
Dy 1.1643 1.2408 8.1849
Dy 3.5301 3.7223 1.1548
Tm 1.9229 3.7223 5.8421
Tm 2.7714 1.2408 3.4975
Sc -1.1674 3.7223 7.3975
Sc 5.8617 1.2408 1.9422
```

Values from the calculation:
E_form (eV/atom): 0.034

***

Q: What is the E_form in the sixth record?
A: 0.125 eV/atom

***

Q: Among the records above, which one has the lowest E_form?
A: TbDySc2Tl4

***

Please write out number 8 again, unchanged.
The following is a DFT calculation (GGA-PBE) of a relaxed structure of Tb5DyTm2Sc.

Geometry as extended XYZ:
```
18
Lattice="2.7546 -9.9337 0.0000 2.7546 9.9337 0.0000 0.0000 0.0000 10.3382" Properties=species:S:1:pos:R:3 pbc="T T T"
Tb 2.7546 9.5906 5.1691
Tb 2.7546 7.4929 8.0619
Tb 2.7546 5.9624 4.8070
Tb 2.7546 5.4792 0.8201
Tb 2.7546 0.3352 8.0126
Tb 2.7546 -0.3352 2.8435
Tb 2.7546 -5.4792 5.9892
Tb 2.7546 -5.9624 9.9762
Tb 2.7546 -7.4929 2.8928
Tb 2.7546 -9.5906 0.0000
Dy 2.7546 8.1176 2.2339
Dy 2.7546 -8.1176 7.4030
Tm 2.7546 2.2681 5.1415
Tm 2.7546 2.2168 0.7114
Tm 2.7546 -2.2168 5.8806
Tm 2.7546 -2.2681 10.3106
Sc 2.7546 3.8725 8.0041
Sc 2.7546 -3.8725 2.8350
```

Values from the calculation:
E_form (eV/atom): 0.167